NaMnZn2P | Alexandria via LeMat-Bulk | PBE-GGA | relaxed; DFT formation energy = 26.9 kJ per mole of atoms; theoretical density = 3.9 g/cm³; spin magnetization = 3.25 μB/cell
1.0
4.8014 0.0000 0.0000
0.0000 4.8014 0.0000
0.0000 0.0000 4.4513
Na Mn Zn P
1 1 2 1
Direct
0.0000 0.0000 0.0000
0.5000 0.5000 0.0000
0.0000 0.5000 0.5000
0.5000 0.0000 0.5000
0.5000 0.5000 0.5000